No. 1
Below is a PBEsol-optimized structure of Dy3Sb4Pd8, with properties calculated at the meta-GGA SCAN level.

Cell and atoms, written as CIF:
```
data_Dy3Sb4Pd8
_symmetry_space_group_name_H-M 'P 1'
_symmetry_Int_Tables_number 1
_cell_length_a 9.2249
_cell_length_b 9.2249
_cell_length_c 9.2249
_cell_angle_alpha 60.00
_cell_angle_beta 60.00
_cell_angle_gamma 60.00
loop_
_symmetry_equiv_pos_as_xyz
'x,y,z'
loop_
_atom_site_label
_atom_site_type_symbol
_atom_site_fract_x
_atom_site_fract_y
_atom_site_fract_z
_atom_site_occupancy
Dy1 Dy 0.2252 0.2252 0.7748 1
Dy2 Dy 0.2252 0.7748 0.2252 1
Dy3 Dy 0.2252 0.7748 0.7748 1
Dy4 Dy 0.7748 0.2252 0.2252 1
Dy5 Dy 0.7748 0.2252 0.7748 1
Dy6 Dy 0.7748 0.7748 0.2252 1
Sb1 Sb 0.0000 0.0000 0.0000 1
Sb2 Sb 0.0000 0.0000 0.5000 1
Sb3 Sb 0.0000 0.5000 0.0000 1
Sb4 Sb 0.0000 0.5000 0.5000 1
Sb5 Sb 0.5000 0.0000 0.0000 1
Sb6 Sb 0.5000 0.0000 0.5000 1
Sb7 Sb 0.5000 0.5000 0.0000 1
Sb8 Sb 0.5000 0.5000 0.5000 1
Pd1 Pd 0.1434 0.6189 0.6189 1
Pd2 Pd 0.1675 0.1675 0.1675 1
Pd3 Pd 0.1675 0.1675 0.4974 1
Pd4 Pd 0.1675 0.4974 0.1675 1
Pd5 Pd 0.3811 0.3811 0.3811 1
Pd6 Pd 0.3811 0.3811 0.8566 1
Pd7 Pd 0.3811 0.8566 0.3811 1
Pd8 Pd 0.4974 0.1675 0.1675 1
Pd9 Pd 0.5026 0.8325 0.8325 1
Pd10 Pd 0.6189 0.1434 0.6189 1
Pd11 Pd 0.6189 0.6189 0.1434 1
Pd12 Pd 0.6189 0.6189 0.6189 1
Pd13 Pd 0.8325 0.5026 0.8325 1
Pd14 Pd 0.8325 0.8325 0.5026 1
Pd15 Pd 0.8325 0.8325 0.8325 1
Pd16 Pd 0.8566 0.3811 0.3811 1
```

Properties
DOS at the Fermi energy: 6.7 states/eV/f.u.
uncorrected formation energy: -88 kJ/mol of atoms

No. 2
Below is a PBEsol-optimized structure of DySnPd2, with properties calculated at the meta-GGA SCAN level.

Cell and atoms, written as CIF:
```
data_DySnPd2
_symmetry_space_group_name_H-M 'P 1'
_symmetry_Int_Tables_number 1
_cell_length_a 4.7212
_cell_length_b 4.7212
_cell_length_c 4.7212
_cell_angle_alpha 60.00
_cell_angle_beta 60.00
_cell_angle_gamma 60.00
loop_
_symmetry_equiv_pos_as_xyz
'x,y,z'
loop_
_atom_site_label
_atom_site_type_symbol
_atom_site_fract_x
_atom_site_fract_y
_atom_site_fract_z
_atom_site_occupancy
Dy1 Dy 0.0000 0.0000 0.0000 1
Sn1 Sn 0.5000 0.5000 0.5000 1
Pd1 Pd 0.2500 0.2500 0.2500 1
Pd2 Pd 0.7500 0.7500 0.7500 1
```

Properties
DOS at the Fermi energy: 1.8 states/eV/f.u.

No. 3
Below is a PBEsol-optimized structure of DySnPd, with properties calculated at the meta-GGA SCAN level.

Cell and atoms, written as CIF:
```
data_DySnPd
_symmetry_space_group_name_H-M 'P 1'
_symmetry_Int_Tables_number 1
_cell_length_a 7.0940
_cell_length_b 4.5784
_cell_length_c 7.8445
_cell_angle_alpha 90.00
_cell_angle_beta 90.00
_cell_angle_gamma 90.00
loop_
_symmetry_equiv_pos_as_xyz
'x,y,z'
loop_
_atom_site_label
_atom_site_type_symbol
_atom_site_fract_x
_atom_site_fract_y
_atom_site_fract_z
_atom_site_occupancy
Dy1 Dy 0.0093 0.2500 0.2048 1
Dy2 Dy 0.4907 0.7500 0.7048 1
Dy3 Dy 0.5093 0.2500 0.2952 1
Dy4 Dy 0.9907 0.7500 0.7952 1
Sn1 Sn 0.1926 0.2500 0.5872 1
Sn2 Sn 0.3074 0.7500 0.0872 1
Sn3 Sn 0.6926 0.2500 0.9128 1
Sn4 Sn 0.8074 0.7500 0.4128 1
Pd1 Pd 0.2067 0.7500 0.4163 1
Pd2 Pd 0.2933 0.2500 0.9163 1
Pd3 Pd 0.7067 0.7500 0.0837 1
Pd4 Pd 0.7933 0.2500 0.5837 1
```

Properties
DOS at the Fermi energy: 1.3 states/eV/f.u.

No. 4
Below is a PBEsol-optimized structure of Dy7Te2Pd2, with properties calculated at the meta-GGA SCAN level.

Cell and atoms, written as CIF:
```
data_Dy7Te2Pd2
_symmetry_space_group_name_H-M 'P 1'
_symmetry_Int_Tables_number 1
_cell_length_a 9.3187
_cell_length_b 9.3187
_cell_length_c 9.3187
_cell_angle_alpha 155.95
_cell_angle_beta 66.63
_cell_angle_gamma 118.91
loop_
_symmetry_equiv_pos_as_xyz
'x,y,z'
loop_
_atom_site_label
_atom_site_type_symbol
_atom_site_fract_x
_atom_site_fract_y
_atom_site_fract_z
_atom_site_occupancy
Dy1 Dy 0.0000 0.0000 0.0000 1
Dy2 Dy 0.2876 0.4166 0.8710 1
Dy3 Dy 0.3049 0.6236 0.6813 1
Dy4 Dy 0.5457 0.4166 0.1290 1
Dy5 Dy 0.6185 0.2626 0.3558 1
Dy6 Dy 0.9068 0.2626 0.6442 1
Dy7 Dy 0.9423 0.6236 0.3187 1
Te1 Te 0.2650 0.7650 0.5000 1
Te2 Te 0.6635 0.6635 0.0000 1
Pd1 Pd 0.1657 0.9291 0.2367 1
Pd2 Pd 0.6924 0.9291 0.7633 1
```

Properties
DOS at the Fermi energy: 8.1 states/eV/f.u.
uncorrected formation energy: -91 kJ/mol of atoms

No. 5
Below is a PBEsol-optimized structure of DyTlPd, with properties calculated at the meta-GGA SCAN level.

Cell and atoms, written as CIF:
```
data_DyTlPd
_symmetry_space_group_name_H-M 'P 1'
_symmetry_Int_Tables_number 1
_cell_length_a 7.6436
_cell_length_b 7.6436
_cell_length_c 3.7930
_cell_angle_alpha 90.00
_cell_angle_beta 90.00
_cell_angle_gamma 120.00
loop_
_symmetry_equiv_pos_as_xyz
'x,y,z'
loop_
_atom_site_label
_atom_site_type_symbol
_atom_site_fract_x
_atom_site_fract_y
_atom_site_fract_z
_atom_site_occupancy
Dy1 Dy 0.0000 0.4051 0.0000 1
Dy2 Dy 0.4051 0.0000 0.0000 1
Dy3 Dy 0.5949 0.5949 0.0000 1
Tl1 Tl 0.0000 0.7347 0.5000 1
Tl2 Tl 0.2653 0.2653 0.5000 1
Tl3 Tl 0.7347 0.0000 0.5000 1
Pd1 Pd 0.0000 0.0000 0.0000 1
Pd2 Pd 0.3333 0.6667 0.5000 1
Pd3 Pd 0.6667 0.3333 0.5000 1
```

Properties
DOS at the Fermi energy: 2.4 states/eV/f.u.

No. 6
Below is a PBEsol-optimized structure of Pm3Dy, with properties calculated at the meta-GGA SCAN level.

Cell and atoms, written as CIF:
```
data_Pm3Dy
_symmetry_space_group_name_H-M 'P 1'
_symmetry_Int_Tables_number 1
_cell_length_a 7.1480
_cell_length_b 7.1480
_cell_length_c 5.7250
_cell_angle_alpha 90.00
_cell_angle_beta 90.00
_cell_angle_gamma 120.00
loop_
_symmetry_equiv_pos_as_xyz
'x,y,z'
loop_
_atom_site_label
_atom_site_type_symbol
_atom_site_fract_x
_atom_site_fract_y
_atom_site_fract_z
_atom_site_occupancy
Pm1 Pm 0.1669 0.3338 0.2500 1
Pm2 Pm 0.1669 0.8331 0.2500 1
Pm3 Pm 0.3338 0.1669 0.7500 1
Pm4 Pm 0.6662 0.8331 0.2500 1
Pm5 Pm 0.8331 0.1669 0.7500 1
Pm6 Pm 0.8331 0.6662 0.7500 1
Dy1 Dy 0.3333 0.6667 0.7500 1
Dy2 Dy 0.6667 0.3333 0.2500 1
```

Properties
ΔE to the lowest computed polymorph: 0.011 eV per atom
DOS at the Fermi energy: 6.2 states/eV/f.u.

No. 7
Below is a PBEsol-optimized structure of Pm3Dy, with properties calculated at the meta-GGA SCAN level.

Cell and atoms, written as CIF:
```
data_Pm3Dy
_symmetry_space_group_name_H-M 'P 1'
_symmetry_Int_Tables_number 1
_cell_length_a 5.0066
_cell_length_b 5.0066
_cell_length_c 5.0066
_cell_angle_alpha 90.00
_cell_angle_beta 90.00
_cell_angle_gamma 90.00
loop_
_symmetry_equiv_pos_as_xyz
'x,y,z'
loop_
_atom_site_label
_atom_site_type_symbol
_atom_site_fract_x
_atom_site_fract_y
_atom_site_fract_z
_atom_site_occupancy
Pm1 Pm 0.0000 0.0000 0.5000 1
Pm2 Pm 0.0000 0.5000 0.0000 1
Pm3 Pm 0.5000 0.0000 0.0000 1
Dy1 Dy 0.5000 0.5000 0.5000 1
```

Properties
ΔE to the lowest computed polymorph: 0.000 eV per atom
DOS at the Fermi energy: 5.1 states/eV/f.u.

No. 8
Below is a PBEsol-optimized structure of PmDyRh2, with properties calculated at the meta-GGA SCAN level.

Cell and atoms, written as CIF:
```
data_PmDyRh2
_symmetry_space_group_name_H-M 'P 1'
_symmetry_Int_Tables_number 1
_cell_length_a 4.8306
_cell_length_b 4.8306
_cell_length_c 4.8306
_cell_angle_alpha 60.00
_cell_angle_beta 60.00
_cell_angle_gamma 60.00
loop_
_symmetry_equiv_pos_as_xyz
'x,y,z'
loop_
_atom_site_label
_atom_site_type_symbol
_atom_site_fract_x
_atom_site_fract_y
_atom_site_fract_z
_atom_site_occupancy
Pm1 Pm 0.0000 0.0000 0.0000 1
Dy1 Dy 0.5000 0.5000 0.5000 1
Rh1 Rh 0.2500 0.2500 0.2500 1
Rh2 Rh 0.7500 0.7500 0.7500 1
```

Properties
DOS at the Fermi energy: 2.2 states/eV/f.u.

no.,E_tot (eV/atom)
1,-37.89
2,-38.24
3,-39.87
4,-44.09
5,-51.75
6,-44.91
7,-44.93
8,-40.71